Density functional theory data (GGA-PBE) for a relaxed KSr3Bi crystal.

```
5
Lattice="6.605 0.000 0.000 0.000 6.605 0.000 0.000 0.000 6.605" Properties=species:S:1:pos:R:3 pbc="T T T"
K 0.000 0.000 0.000
Sr 0.000 3.302 3.302
Sr 3.302 0.000 3.302
Sr 3.302 3.302 0.000
Bi 3.302 3.302 3.302
```

**Energy above the most stable polymorph in this dataset**: 0 meV per atom
**Calculated formation energy**: -0.2733 eV per atom